Density functional theory data (GGA-PBE) for Pr2NdSmEr5 after structural relaxation.

Lattice parameters (Å, degrees): 8.705 8.705 9.935 115.98 115.98 90.00
Atoms (fractional coordinates):
Pr 0.118 0.382 0.000
Pr 0.618 0.118 0.000
Pr 0.382 0.882 0.000
Pr 0.882 0.618 0.000
Nd 0.250 0.250 0.500
Nd 0.750 0.750 0.500
Sm 0.250 0.750 0.500
Sm 0.750 0.250 0.500
Er 0.928 0.428 0.277
Er 0.651 0.151 0.723
Er 0.072 0.572 0.723
Er 0.151 0.072 0.723
Er 0.572 0.651 0.723
Er 0.849 0.928 0.277
Er 0.428 0.349 0.277
Er 0.349 0.849 0.277
Er 0.500 0.500 0.000
Er 0.000 0.000 0.000

Calculated values
- Calculated formation energy: 0.25 eV/atom
- Density: 7.9 g cm⁻³